1.
The following is a DFT calculation (PBE) of a relaxed LaY4Er7 crystal.

Cell lengths 5.866, 11.519, 6.710 Å; angles 83.10, 64.08, 75.25 degrees
Sites, in units of the cell vectors:
1 La 0.000 0.000 0.000
2 Y 0.628 0.225 0.519
3 Y 0.372 0.775 0.481
4 Y 0.746 0.685 0.823
5 Y 0.254 0.315 0.177
6 Er 0.790 0.922 0.498
7 Er 0.210 0.078 0.502
8 Er 0.057 0.664 0.221
9 Er 0.943 0.336 0.779
10 Er 0.365 0.505 0.765
11 Er 0.500 0.000 0.000
12 Er 0.635 0.495 0.235

**Space-group type**: No. 12

2.
The following is a DFT calculation (PBE) of a relaxed LaY5Er4 crystal.

Cell lengths 3.564, 3.564, 25.220 Å; angles 90.00, 90.00, 90.00 degrees
Sites, in units of the cell vectors:
1 La 0.000 0.000 0.000
2 Y 0.500 0.500 0.106
3 Y 0.500 0.500 0.303
4 Y 0.500 0.500 0.500
5 Y 0.500 0.500 0.697
6 Y 0.500 0.500 0.894
7 Er 0.000 0.000 0.204
8 Er 0.000 0.000 0.401
9 Er 0.000 0.000 0.599
10 Er 0.000 0.000 0.796

**Space-group type**: No. 123

3.
The following is a DFT calculation (PBE) of a relaxed LaYErZn crystal.

Cell lengths 5.433, 5.433, 5.433 Å; angles 60.00, 60.00, 60.00 degrees
Sites, in units of the cell vectors:
1 Y 0.500 0.500 0.500
2 Zn 0.250 0.250 0.250
3 La 0.000 0.000 0.000
4 Er 0.750 0.750 0.750

**Space-group type**: No. 216

| no. | ΔE_f (kJ/mol of formula units) | M_tot (μB/f.u.) |
| --- | --- | --- |
| 1 | 315 | 0.0 |
| 2 | 29 | 0.0 |
| 3 | 9 | 0.0 |